A geometry-optimized MnCd6O8 structure, computed with GGA-PBEsol.

abc: 6.548 6.548 6.548
angles: 60.00 60.00 60.00
Atoms (fractional coordinates):
Mn 0.000 0.000 0.000
Cd 0.000 0.000 0.500
Cd 0.000 0.500 0.000
Cd 0.000 0.500 0.500
Cd 0.500 0.000 0.000
Cd 0.500 0.000 0.500
Cd 0.500 0.500 0.000
O 0.208 0.208 0.792
O 0.208 0.792 0.208
O 0.208 0.792 0.792
O 0.250 0.250 0.250
O 0.750 0.750 0.750
O 0.792 0.208 0.208
O 0.792 0.208 0.792
O 0.792 0.792 0.208

Properties
- Energy relative to the elements, uncorrected: -17.23 eV per formula unit
- Volume: 13.2 Å³ per atom